No. 1
This record from the Alexandria database describes a relaxed Ho2Ga3Pt crystal. The functional is PBE.

Results
Density of states at the Fermi level   0.56 states/eV/atom
Space group   No. 25
Energy above the most stable polymorph in this dataset   0.0196 eV per atom
ΔE_f   -0.8516 eV per atom

a b c (Å): 3.6337 4.3667 7.6675
angles (deg): 90.00 90.00 90.00
Last column: nearest neighbours and their distance in Å.
Fractional positions:
Ho1 0.0000 0.0000 0.0000  2 Pt 3.06, 10 Ga 3.06-3.22
Ho2 0.0000 0.5000 0.4712  8 Ga 3.06-3.23, 4 Pt 3.07
Ga1 0.5000 0.0000 0.6527  2 Ga 2.53, 1 Pt 2.55
Ga2 0.5000 0.5000 0.1498  1 Ga 2.53, 2 Pt 2.55
Ga3 0.5000 0.5000 0.8197  3 Ga 2.53
Pt1 0.5000 0.0000 0.3207  3 Ga 2.55

No. 2
This record from the Alexandria database describes a relaxed PmAl2SeO8 crystal. The functional is PBE.

Results
Raw formation energy   -2238 kJ/mol of formula units
Space group   No. 2

a b c (Å): 4.3235 4.5086 6.9744
angles (deg): 84.21 89.50 88.41
Last column: nearest neighbours and their distance in Å.
Fractional positions:
Pm1 0.0000 0.0000 0.0000  6 O 2.37-2.48
Al1 0.4795 0.4674 0.6927  5 O 1.80-1.90
Al2 0.5205 0.5326 0.3073  5 O 1.80-1.90
Se1 0.0000 0.0000 0.5000  6 O 1.80-1.87
O1 0.1866 0.7769 0.7080  1 Se 1.86, 1 Al 1.87
O2 0.1921 0.8227 0.3104  1 Se 1.80, 1 Al 1.90
O3 0.2998 0.2915 0.4935  2 Al 1.85-1.88, 1 Se 1.87
O4 0.4360 0.3023 0.9369  1 Al 1.80
O5 0.5640 0.6977 0.0631  1 Al 1.80
O6 0.7002 0.7085 0.5065  2 Al 1.85-1.88, 1 Se 1.87
O7 0.8079 0.1773 0.6896  1 Se 1.80, 1 Al 1.90
O8 0.8134 0.2231 0.2920  1 Se 1.86, 1 Al 1.87

No. 3
This record from the Alexandria database describes a relaxed AcEuYEr crystal. The functional is PBE.

Results
Density of states at the Fermi level   1.55 states/eV/atom
Space group   No. 216
ΔE_f   0.1414 eV per atom

a b c (Å): 5.9277 5.9277 5.9277
angles (deg): 60.00 60.00 60.00
Last column: nearest neighbours and their distance in Å.
Fractional positions:
Ac1 0.0000 0.0000 0.0000  4 Y 3.63, 4 Er 3.63
Eu1 0.5000 0.5000 0.5000  4 Er 3.63, 4 Y 3.63
Y1 0.2500 0.2500 0.2500  4 Eu 3.63, 4 Ac 3.63
Er1 0.7500 0.7500 0.7500  4 Eu 3.63, 4 Ac 3.63

No. 4
This record from the Alexandria database describes a relaxed CrN2 crystal. The functional is PBE.

Results
Density of states at the Fermi level   0.08 states/eV/atom
Raw formation energy   -19 kJ/mol of formula units
Space group   No. 58

a b c (Å): 3.8849 4.8116 2.7991
angles (deg): 90.00 90.00 90.00
Last column: nearest neighbours and their distance in Å.
Fractional positions:
Cr1 0.0000 0.0000 0.0000  6 N 2.04-2.05
Cr2 0.5000 0.5000 0.5000  6 N 2.04-2.05
N1 0.1346 0.4112 0.0000  1 N 1.35
N2 0.3654 0.9112 0.5000  1 N 1.35
N3 0.6346 0.0888 0.5000  1 N 1.35
N4 0.8654 0.5888 0.0000  1 N 1.35

Repeat the third record exactly.
This record from the Alexandria database describes a relaxed AcEuYEr crystal. The functional is PBE.

Results
Density of states at the Fermi level   1.55 states/eV/atom
Space group   No. 216
ΔE_f   0.1414 eV per atom

a b c (Å): 5.9277 5.9277 5.9277
angles (deg): 60.00 60.00 60.00
Last column: nearest neighbours and their distance in Å.
Fractional positions:
Ac1 0.0000 0.0000 0.0000  4 Y 3.63, 4 Er 3.63
Eu1 0.5000 0.5000 0.5000  4 Er 3.63, 4 Y 3.63
Y1 0.2500 0.2500 0.2500  4 Eu 3.63, 4 Ac 3.63
Er1 0.7500 0.7500 0.7500  4 Eu 3.63, 4 Ac 3.63